An optimized crystal structure of Er2CuRe. Source: Alexandria, functional GGA-PBE.

Properties
The calculation puts the density of states at the Fermi level at 2.91 states/eV/cell. The calculated formation energy is -0.03 eV per atom. Its raw total energy is -25.79 eV for the cell shown.

```
data_Er2CuRe
_chemical_formula_sum 'Er2 Cu1 Re1'
_space_group_name_H-M_alt 'P 4/m m m'
_space_group_IT_number 123
_space_group_name_Hall '-P 4 2'
_cell_length_a 3.407
_cell_length_b 3.407
_cell_length_c 7.016
_cell_angle_alpha 90.00
_cell_angle_beta 90.00
_cell_angle_gamma 90.00
loop_
_atom_site_label
_atom_site_type_symbol
_atom_site_fract_x
_atom_site_fract_y
_atom_site_fract_z
Er1 Er 0.000 0.000 0.237
Cu1 Cu 0.500 0.500 0.500
Re1 Re 0.500 0.500 0.000
```